(1)
Dy2B3O8 (SCAN, PBEsol geometry); theoretical density = 6.58 g/cm³; symmetry = Pbcn (60)
1.0
12.802 0.000 0.000
0.000 4.332 0.000
0.000 0.000 8.835
Dy B O
8 12 32
Direct
0.139 0.052 0.037 Dy
0.139 0.948 0.537 Dy
0.361 0.448 0.537 Dy
0.361 0.552 0.037 Dy
0.639 0.448 0.963 Dy
0.639 0.552 0.463 Dy
0.861 0.052 0.463 Dy
0.861 0.948 0.963 Dy
0.000 0.428 0.750 B
0.000 0.572 0.250 B
0.193 0.482 0.302 B
0.193 0.518 0.802 B
0.307 0.018 0.802 B
0.307 0.982 0.302 B
0.500 0.072 0.250 B
0.500 0.928 0.750 B
0.693 0.018 0.698 B
0.693 0.982 0.198 B
0.807 0.482 0.198 B
0.807 0.518 0.698 B
0.005 0.216 0.879 O
0.005 0.784 0.379 O
0.094 0.370 0.238 O
0.094 0.630 0.738 O
0.188 0.462 0.465 O
0.188 0.538 0.965 O
0.216 0.201 0.746 O
0.216 0.799 0.246 O
0.284 0.299 0.246 O
0.284 0.701 0.746 O
0.312 0.038 0.965 O
0.312 0.962 0.465 O
0.406 0.130 0.738 O
0.406 0.870 0.238 O
0.495 0.284 0.379 O
0.495 0.716 0.879 O
0.505 0.284 0.121 O
0.505 0.716 0.621 O
0.594 0.130 0.762 O
0.594 0.870 0.262 O
0.688 0.038 0.535 O
0.688 0.962 0.035 O
0.716 0.299 0.254 O
0.716 0.701 0.754 O
0.784 0.201 0.754 O
0.784 0.799 0.254 O
0.812 0.462 0.035 O
0.812 0.538 0.535 O
0.906 0.370 0.262 O
0.906 0.630 0.762 O
0.995 0.216 0.621 O
0.995 0.784 0.121 O


(2)
DyBO3 (SCAN, PBEsol geometry); theoretical density = 7.34 g/cm³; symmetry = P-1 (2)
1.0
7.152 0.000 0.000
1.984 8.719 0.000
0.764 1.329 9.640
Dy B O
12 12 36
Direct
0.066 0.059 0.157 Dy
0.074 0.556 0.656 Dy
0.238 0.940 0.529 Dy
0.250 0.456 0.021 Dy
0.401 0.065 0.830 Dy
0.401 0.569 0.337 Dy
0.599 0.431 0.663 Dy
0.599 0.935 0.170 Dy
0.750 0.544 0.979 Dy
0.762 0.060 0.471 Dy
0.926 0.444 0.344 Dy
0.934 0.941 0.843 Dy
0.023 0.215 0.577 B
0.033 0.721 0.114 B
0.281 0.717 0.809 B
0.332 0.229 0.294 B
0.385 0.243 0.552 B
0.392 0.747 0.053 B
0.608 0.253 0.947 B
0.615 0.757 0.448 B
0.668 0.771 0.706 B
0.719 0.283 0.191 B
0.967 0.279 0.886 B
0.977 0.785 0.423 B
0.030 0.188 0.427 O
0.048 0.406 0.873 O
0.065 0.906 0.352 O
0.067 0.131 0.916 O
0.072 0.627 0.413 O
0.092 0.685 0.869 O
0.227 0.176 0.628 O
0.231 0.682 0.136 O
0.254 0.385 0.262 O
0.254 0.884 0.765 O
0.334 0.133 0.196 O
0.344 0.628 0.695 O
0.346 0.409 0.536 O
0.349 0.912 0.036 O
0.420 0.164 0.420 O
0.420 0.661 0.927 O
0.436 0.316 0.869 O
0.442 0.820 0.372 O
0.558 0.180 0.628 O
0.564 0.684 0.131 O
0.580 0.339 0.073 O
0.580 0.836 0.580 O
0.651 0.088 0.964 O
0.654 0.591 0.464 O
0.656 0.372 0.305 O
0.666 0.867 0.804 O
0.746 0.116 0.235 O
0.746 0.615 0.738 O
0.769 0.318 0.864 O
0.773 0.824 0.372 O
0.908 0.315 0.131 O
0.928 0.373 0.587 O
0.933 0.869 0.084 O
0.935 0.094 0.648 O
0.952 0.594 0.127 O
0.970 0.812 0.573 O


(3)
Dy3BWO9 (SCAN, PBEsol geometry); theoretical density = 8.43 g/cm³; symmetry = P6_3 (173)
1.0
8.415 0.000 0.000
-4.207 7.287 0.000
0.000 0.000 5.307
Dy B W O
6 2 2 18
Direct
0.084 0.726 0.000 Dy
0.274 0.358 0.000 Dy
0.358 0.084 0.500 Dy
0.642 0.916 0.000 Dy
0.726 0.642 0.500 Dy
0.916 0.274 0.500 Dy
0.000 0.000 0.165 B
0.000 0.000 0.665 B
0.333 0.667 0.544 W
0.667 0.333 0.044 W
0.056 0.872 0.655 O
0.128 0.184 0.655 O
0.132 0.513 0.779 O
0.184 0.056 0.155 O
0.195 0.464 0.332 O
0.269 0.805 0.332 O
0.381 0.868 0.779 O
0.464 0.269 0.832 O
0.487 0.619 0.779 O
0.513 0.381 0.279 O
0.536 0.731 0.332 O
0.619 0.132 0.279 O
0.731 0.195 0.832 O
0.805 0.536 0.832 O
0.816 0.944 0.655 O
0.868 0.487 0.279 O
0.872 0.816 0.155 O
0.944 0.128 0.155 O


| no. | calculated volume (Å³ per atom) | raw formation energy (meV per atom) | energy (eV per atom) |
| --- | --- | --- | --- |
| 1 | 9.42 | -3068 | -15.97 |
| 2 | 10.02 | -3380 | -18.16 |
| 3 | 11.62 | -3345 | -23.10 |